# 1
A geometry-optimized KGaSi structure. Source: Alexandria, functional PBE-GGA.

a = 5.9715 Å, b = 7.8310 Å, c = 7.5749 Å
α = 90.00°, β = 127.51°, γ = 90.00°
Space group P2_1/c (No. 14)
One atom of each set of equivalent atoms:
K: 0.1926 0.2109 0.0967 x4
Ga: 0.2665 0.5864 0.3127 x4
Si: 0.2809 0.5782 0.9487 x4

The total energy is -36.88 eV for the cell shown. The value obtained for the magnetization is 0.0 Bohr magnetons per cell.

---

# 2
A geometry-optimized KTe2Cl structure. Source: Alexandria, functional PBE-GGA.

a = 17.9501 Å, b = 4.1789 Å, c = 4.1991 Å
α = 90.00°, β = 93.74°, γ = 90.00°
Space group C2/m (No. 12)
One atom of each set of equivalent atoms:
K: 0.0000 0.0000 0.0000 x2
Te: 0.2263 0.0000 0.2254 x4
Cl: 0.0000 0.5000 0.5000 x2

Its polymorph energy (0 for the lowest one) is 0.000 eV/atom. The value obtained for the magnetization is 0.0 Bohr magnetons per cell.

---

# 3
A geometry-optimized PmPrC structure. Source: Alexandria, functional PBE-GGA.

a = 3.6766 Å, b = 3.6766 Å, c = 12.9827 Å
α = 90.00°, β = 90.00°, γ = 120.00°
Space group P-6m2 (No. 187)
One atom of each set of equivalent atoms:
Pm: 0.0000 0.0000 0.1129 x2
Pr: 0.6667 0.3333 0.3841 x2
C: 0.0000 0.0000 0.5000 x1
C: 0.6667 0.3333 0.0000 x1

Its polymorph energy (0 for the lowest one) is 0.276 eV/atom. The value obtained for the magnetization is 0.0 Bohr magnetons per cell.

---

# 4
A geometry-optimized LiGeS structure. Source: Alexandria, functional PBE-GGA.

a = 7.2180 Å, b = 4.1627 Å, c = 8.3625 Å
α = 90.00°, β = 90.01°, γ = 90.00°
Space group C2/m (No. 12)
One atom of each set of equivalent atoms:
Li: 0.1659 0.0000 0.1299 x4
Ge: 0.1672 0.0000 0.5479 x4
S: 0.1673 0.0000 0.8174 x4

Its polymorph energy (0 for the lowest one) is 0.000 eV/atom. The value obtained for the magnetization is 0.0 Bohr magnetons per cell.

---

# 5
A geometry-optimized LaAsW2 structure. Source: Alexandria, functional PBE-GGA.

a = 5.7583 Å, b = 10.1450 Å, c = 3.2672 Å
α = 90.00°, β = 123.66°, γ = 90.00°
Space group C2/m (No. 12)
One atom of each set of equivalent atoms:
La: 0.0000 0.0000 0.0000 x2
As: 0.0000 0.5000 0.0000 x2
W: 0.2500 0.2500 0.5000 x4

The total energy is -66.08 eV for the cell shown. The value obtained for the magnetization is 0.0 Bohr magnetons per cell.

---

# 6
A geometry-optimized Sr3SnN structure. Source: Alexandria, functional PBE-GGA.

a = 7.3997 Å, b = 12.8196 Å, c = 6.3794 Å
α = 90.00°, β = 90.46°, γ = 90.00°
Space group C2/c (No. 15)
One atom of each set of equivalent atoms:
Sr: 0.0000 0.1548 0.2500 x4
Sr: 0.2322 0.0773 0.7525 x8
Sn: 0.0000 0.3333 0.7500 x4
N: 0.0000 0.0000 0.0000 x4

The total energy is -82.09 eV for the cell shown. The value obtained for the magnetization is 0.0 Bohr magnetons per cell.

---

# 7
A geometry-optimized Sc6Co5Rh structure. Source: Alexandria, functional PBE-GGA.

a = 4.4448 Å, b = 13.3297 Å, c = 6.2665 Å
α = 90.00°, β = 90.00°, γ = 90.00°
Space group Cmmm (No. 65)
One atom of each set of equivalent atoms:
Sc: 0.0000 0.0000 0.2452 x4
Sc: 0.0000 0.3311 0.2480 x8
Co: 0.0000 0.1661 0.0000 x4
Co: 0.0000 0.1671 0.5000 x4
Co: 0.0000 0.5000 0.0000 x2
Rh: 0.0000 0.5000 0.5000 x2

The total energy is -172.89 eV for the cell shown. The value obtained for the magnetization is 1.0 Bohr magnetons per cell.

---

# 8
A geometry-optimized PdO6F2 structure. Source: Alexandria, functional PBE-GGA.

a = 3.4192 Å, b = 6.2012 Å, c = 6.7904 Å
α = 116.71°, β = 93.53°, γ = 95.50°
Space group P-1 (No. 2)
One atom of each set of equivalent atoms:
Pd: 0.0000 0.0000 0.0000 x1
O: 0.0493 0.4832 0.7632 x2
O: 0.0744 0.7211 0.3945 x2
O: 0.1356 0.3203 0.2622 x2
F: 0.4975 0.9066 0.1272 x2

The total energy is -40.11 eV for the cell shown. The value obtained for the magnetization is 0.9 Bohr magnetons per cell.

---

# 9
A geometry-optimized SmHfCo4 structure. Source: Alexandria, functional PBE-GGA.

a = 7.0624 Å, b = 7.0624 Å, c = 7.0624 Å
α = 90.00°, β = 90.00°, γ = 90.00°
Space group F-43m (No. 216)
One atom of each set of equivalent atoms:
Sm: 0.0000 0.0000 0.0000 x4
Hf: 0.2500 0.2500 0.2500 x4
Co: 0.1240 0.1240 0.6240 x16

The total energy is -176.22 eV for the cell shown. The value obtained for the magnetization is 11.7 Bohr magnetons per cell.

---

# 10
A geometry-optimized PrHo3Ga3 structure. Source: Alexandria, functional PBE-GGA.

a = 9.2586 Å, b = 9.2586 Å, c = 4.7860 Å
α = 90.00°, β = 90.00°, γ = 120.00°
Space group P6_3/m (No. 176)
One atom of each set of equivalent atoms:
Pr: 0.3333 0.6667 0.2500 x2
Ho: 0.0191 0.7625 0.7500 x6
Ga: 0.0573 0.4485 0.7500 x6

The total energy is -61.33 eV for the cell shown. The value obtained for the magnetization is 0.0 Bohr magnetons per cell.

---

# 11
A geometry-optimized Sr5C4 structure. Source: Alexandria, functional PBE-GGA.

a = 9.1350 Å, b = 9.1350 Å, c = 5.5268 Å
α = 90.00°, β = 90.00°, γ = 90.00°
Space group I4/mmm (No. 139)
One atom of each set of equivalent atoms:
Sr: 0.0000 0.0000 0.0000 x2
Sr: 0.2008 0.2008 0.5000 x8
C: 0.0000 0.2616 0.0000 x8

Its polymorph energy (0 for the lowest one) is 0.600 eV/atom. The value obtained for the magnetization is 3.8 Bohr magnetons per cell.

---

# 12
A geometry-optimized Ca2Tl12In5 structure. Source: Alexandria, functional PBE-GGA.

a = 17.4945 Å, b = 11.2997 Å, c = 5.9136 Å
α = 90.00°, β = 104.53°, γ = 90.00°
Space group C2/m (No. 12)
One atom of each set of equivalent atoms:
Ca: 0.0000 0.2333 0.0000 x4
Tl: 0.0591 0.5000 0.2785 x4
Tl: 0.1026 0.2505 0.6055 x8
Tl: 0.1171 0.0000 0.0315 x4
Tl: 0.1982 0.2631 0.2002 x8
In: 0.0000 0.0000 0.5000 x2
In: 0.1774 0.5000 0.8353 x4
In: 0.2125 0.0000 0.5768 x4

The total energy is -94.11 eV for the cell shown. The value obtained for the magnetization is 0.0 Bohr magnetons per cell.

---

# 13
A geometry-optimized TbHo2Cu2 structure. Source: Alexandria, functional PBE-GGA.

a = 4.9974 Å, b = 4.5923 Å, c = 10.6549 Å
α = 90.00°, β = 97.08°, γ = 90.00°
Space group P2_1/m (No. 11)
One atom of each set of equivalent atoms:
Tb: 0.1903 0.2500 0.2394 x2
Ho: 0.2487 0.7500 0.4952 x2
Ho: 0.3440 0.2500 0.8868 x2
Cu: 0.1246 0.7500 0.0092 x2
Cu: 0.2876 0.2500 0.6353 x2

Its polymorph energy (0 for the lowest one) is 0.065 eV/atom. The value obtained for the magnetization is 0.0 Bohr magnetons per cell.

---

# 14
A geometry-optimized ZrTa3Se structure. Source: Alexandria, functional PBE-GGA.

a = 4.9516 Å, b = 4.9516 Å, c = 4.9516 Å
α = 90.00°, β = 90.00°, γ = 90.00°
Space group Pm-3m (No. 221)
One atom of each set of equivalent atoms:
Zr: 0.0000 0.0000 0.0000 x1
Ta: 0.0000 0.0000 0.5000 x3
Se: 0.5000 0.5000 0.5000 x1

Its polymorph energy (0 for the lowest one) is 1.336 eV/atom. The value obtained for the magnetization is 0.0 Bohr magnetons per cell.

---

# 15
A geometry-optimized Mg2Pd7Au3 structure. Source: Alexandria, functional PBE-GGA.

a = 4.1118 Å, b = 25.9727 Å, c = 4.0017 Å
α = 90.00°, β = 90.00°, γ = 90.00°
Space group Cmmm (No. 65)
One atom of each set of equivalent atoms:
Mg: 0.0000 0.1515 0.0000 x4
Pd: 0.0000 0.0000 0.0000 x2
Pd: 0.0000 0.0759 0.5000 x4
Pd: 0.0000 0.2803 0.0000 x4
Pd: 0.0000 0.4227 0.0000 x4
Au: 0.0000 0.3488 0.5000 x4
Au: 0.0000 0.5000 0.5000 x2

Its polymorph energy (0 for the lowest one) is 0.005 eV/atom. The value obtained for the magnetization is 0.0 Bohr magnetons per cell.

---

# 16
A geometry-optimized Y8Si3Te4P structure. Source: Alexandria, functional PBE-GGA.

a = 8.4036 Å, b = 8.4036 Å, c = 21.2719 Å
α = 90.00°, β = 90.00°, γ = 120.00°
Space group R-3m (No. 166, hexagonal axes)
One atom of each set of equivalent atoms:
Y: 0.0000 0.0000 0.2399 x6
Y: 0.0001 0.5001 0.2386 x18
Si: 0.0000 0.5000 0.5000 x9
Te: 0.0000 0.0000 0.0000 x3
Te: 0.0000 0.5000 0.0000 x9
P: 0.0000 0.0000 0.5000 x3

The total energy is -317.78 eV for the cell shown. The value obtained for the magnetization is 0.0 Bohr magnetons per cell.

---

# 17
A geometry-optimized Sb2AsPb structure. Source: Alexandria, functional PBE-GGA.

a = 3.6602 Å, b = 3.6602 Å, c = 7.9307 Å
α = 90.00°, β = 90.00°, γ = 90.00°
Space group P4/mmm (No. 123)
One atom of each set of equivalent atoms:
Sb: 0.0000 0.0000 0.2073 x2
As: 0.5000 0.5000 0.0000 x1
Pb: 0.5000 0.5000 0.5000 x1

Its polymorph energy (0 for the lowest one) is 0.191 eV/atom. The value obtained for the magnetization is 0.0 Bohr magnetons per cell.

---

# 18
A geometry-optimized SrLi3I structure. Source: Alexandria, functional PBE-GGA.

a = 6.5537 Å, b = 6.5537 Å, c = 6.5537 Å
α = 90.00°, β = 90.00°, γ = 90.00°
Space group Pm-3m (No. 221)
One atom of each set of equivalent atoms:
Sr: 0.0000 0.0000 0.0000 x1
Li: 0.0000 0.0000 0.5000 x3
I: 0.5000 0.5000 0.5000 x1

Its polymorph energy (0 for the lowest one) is 0.735 eV/atom. The value obtained for the magnetization is 2.0 Bohr magnetons per cell.

---

# 19
A geometry-optimized BTeHPb2 structure. Source: Alexandria, functional PBE-GGA.

a = 6.7606 Å, b = 6.7606 Å, c = 3.9338 Å
α = 90.00°, β = 90.00°, γ = 90.00°
Space group P4/mmm (No. 123)
One atom of each set of equivalent atoms:
B: 0.0000 0.0000 0.0000 x1
Te: 0.5000 0.5000 0.5000 x1
H: 0.5000 0.5000 0.0000 x1
Pb: 0.0000 0.5000 0.5000 x2

The total energy is -14.32 eV for the cell shown. The value obtained for the magnetization is 0.0 Bohr magnetons per cell.

---

# 20
A geometry-optimized AlZn5Ag5 structure. Source: Alexandria, functional PBE-GGA.

a = 4.8285 Å, b = 4.8285 Å, c = 9.3019 Å
α = 90.00°, β = 90.00°, γ = 120.00°
Space group P-6m2 (No. 187)
One atom of each set of equivalent atoms:
Al: 0.0000 0.0000 0.0000 x1
Zn: 0.0055 0.5028 0.5000 x3
Zn: 0.6667 0.3333 0.2671 x2
Ag: 0.0000 0.0000 0.3075 x2
Ag: 0.3333 0.6667 0.1619 x2
Ag: 0.6667 0.3333 0.0000 x1

The total energy is -23.36 eV for the cell shown. The value obtained for the magnetization is 0.0 Bohr magnetons per cell.

---

# 21
A geometry-optimized HfTl2Sb3O12 structure. Source: Alexandria, functional PBE-GGA.

a = 7.4162 Å, b = 7.4162 Å, c = 18.5422 Å
α = 90.00°, β = 90.00°, γ = 120.00°
Space group R-3m (No. 166, hexagonal axes)
One atom of each set of equivalent atoms:
Hf: 0.0000 0.0000 0.0000 x3
Tl: 0.0000 0.0000 0.3792 x6
Sb: 0.0000 0.5000 0.5000 x9
O: 0.0658 0.5329 0.8562 x18
O: 0.0677 0.5339 0.6037 x18

The total energy is -333.46 eV for the cell shown. The value obtained for the magnetization is 9.3 Bohr magnetons per cell.

---

# 22
A geometry-optimized LaTbPm2Er structure. Source: Alexandria, functional PBE-GGA.

a = 8.6067 Å, b = 6.5102 Å, c = 6.3081 Å
α = 90.00°, β = 98.39°, γ = 90.00°
Space group P2/c (No. 13)
One atom of each set of equivalent atoms:
La: 0.0000 0.0000 0.0000 x2
Tb: 0.0000 0.4436 0.2500 x2
Pm: 0.3142 0.3142 0.7030 x4
Er: 0.5000 0.1658 0.2500 x2

The total energy is -44.44 eV for the cell shown. The value obtained for the magnetization is 0.0 Bohr magnetons per cell.